# CsNaBeMo2

Crystalline CsNaBeMo2 at its relaxed geometry (PBE-GGA, Alexandria).

Results
**Total energy**: -13.1 eV/cell
**Magnetization**: 3.92 μB per formula unit
**Energy relative to the elements**: 2.896 eV/atom

Cell lengths 5.127, 5.127, 5.298 Å; angles 90.00, 90.00, 90.00 degrees
Space group P4/mmm (No. 123)
Symmetry-distinct sites (fractional):
Cs: 0.000 0.000 0.000 (multiplicity 1)
Na: 0.500 0.500 0.500 (multiplicity 1)
Be: 0.000 0.000 0.500 (multiplicity 1)
Mo: 0.000 0.500 0.000 (multiplicity 2)